Density functional theory data (PBE) for a relaxed structure of NaPmInSn.

The value obtained for the electronic total energy is -3.62 eV/atom. The value obtained for the density of states at the Fermi level is 1.709 states/eV per cell. The formation energy from the elements is -1.67 eV/f.u.

Cell lengths 4.570, 4.723, 4.932 Å; angles 90.00, 90.00, 90.00 degrees
Element x y z (fractional)
Na  0.000  0.000  0.000
Pm  0.000  0.500  0.500
In  0.500  0.500  0.000
Sn  0.500  0.000  0.500